# 1
Entry from Alexandria via LeMat-Bulk: a relaxed Y2CoCl crystal (PBEsol).

## Properties
**Relative energy among the computed polymorphs**: 0.147 eV/atom
**Formation energy without anion corrections**: -702.9 meV per atom

a b c (Å): 3.8346 3.8346 5.5301
angles (deg): 90.00 90.00 90.00
Positions (direct):
Cl1 0.0000 0.0000 0.0000
Y1 0.5000 0.5000 0.0000
Y2 0.0000 0.0000 0.5000
Co1 0.5000 0.5000 0.5000

---

# 2
Entry from Alexandria via LeMat-Bulk: a relaxed Rb2NaAsIr crystal (PBEsol).

## Properties
**E_form**: 1059.2 meV per atom

a b c (Å): 5.4579 6.4427 6.4427
angles (deg): 90.00 90.00 90.00
Each line ends with the local moment (μB).
Positions (direct):
Rb1 0.0000 0.5000 0.0000  0.02
Na1 0.5000 0.0000 0.0000  0.00
As1 0.0000 0.0000 0.0000  0.40
Rb2 0.0000 0.0000 0.5000  0.02
Ir1 0.5000 0.5000 0.5000  1.85

---

# 3
Entry from Alexandria via LeMat-Bulk: a relaxed AcIn3 crystal (PBEsol).

## Properties
**E_form**: -475.8 meV per atom

a b c (Å): 5.1144 7.0822 7.0822
angles (deg): 120.00 90.00 90.00
Positions (direct):
In1 0.7500 0.8520 0.7040
In2 0.7500 0.2960 0.1480
Ac1 0.2500 0.6667 0.3333
In3 0.2500 0.1480 0.8520
In4 0.7500 0.8520 0.1480
In5 0.2500 0.1480 0.2960
In6 0.2500 0.7040 0.8520
Ac2 0.7500 0.3333 0.6667

---

# 4
Entry from Alexandria via LeMat-Bulk: a relaxed LaIrPt crystal (PBEsol).

## Properties
**Relative energy among the computed polymorphs**: 0.631 eV/atom
**E_form**: -86.5 meV per atom

a b c (Å): 4.5860 4.5860 4.5860
angles (deg): 60.00 60.00 60.00
Positions (direct):
Ir1 0.0000 0.0000 0.0000
Pt1 0.2500 0.2500 0.2500
La1 0.5000 0.5000 0.5000

---

# 5
Entry from Alexandria via LeMat-Bulk: a relaxed La2C3 crystal (PBEsol).

## Properties
**E_form**: -179.3 meV per atom

a b c (Å): 7.5338 7.5338 7.5338
angles (deg): 109.47 109.47 109.47
Positions (direct):
C1 0.5485 0.2500 0.7985
La1 0.0000 0.5000 0.8950
C2 0.0485 0.7985 0.2500
La2 0.5000 0.8950 0.5000
La3 0.8950 0.0000 0.0000
C3 0.7015 0.2500 0.9515
La4 0.6050 0.6050 0.1050
La5 0.0000 0.5000 0.3950
La6 0.3950 0.0000 0.0000
C4 0.9515 0.7500 0.7015
C5 0.4515 0.7015 0.7500
C6 0.7985 0.7500 0.5485
C7 0.2985 0.5485 0.7500
La7 0.1050 0.1050 0.6050
C8 0.7500 0.0485 0.2985
La8 0.5000 0.3950 0.5000
C9 0.2500 0.2985 0.0485
C10 0.2015 0.9515 0.2500
C11 0.2500 0.4515 0.2015
C12 0.7500 0.2015 0.4515

---

# 6
Entry from Alexandria via LeMat-Bulk: a relaxed TlZn2Mo crystal (PBEsol).

## Properties
**Relative energy among the computed polymorphs**: 0.242 eV/atom
**E_form**: 697.7 meV per atom

a b c (Å): 4.5590 4.5590 4.5590
angles (deg): 60.00 60.00 60.00
Each line ends with the local moment (μB).
Positions (direct):
Zn1 0.2500 0.2500 0.2500  0.00
Mo1 0.5000 0.5000 0.5000  0.93
Zn2 0.0000 0.0000 0.0000  -0.01
Tl1 0.7500 0.7500 0.7500  0.00